--- i ---
The following is a DFT calculation (PBEsol) of ScNiTe2 after structural relaxation.

Structure (CIF):
```
data_ScNiTe2
_chemical_formula_sum 'Sc3 Ni3 Te6'
_space_group_name_H-M_alt 'R 3 m'
_space_group_IT_number 160
_space_group_name_Hall 'R 3 -2"'
_cell_length_a 4.0321
_cell_length_b 4.0321
_cell_length_c 20.3262
_cell_angle_alpha 90.00
_cell_angle_beta 90.00
_cell_angle_gamma 120.00
loop_
_atom_site_label
_atom_site_fract_x
_atom_site_fract_y
_atom_site_fract_z
Sc1 0.0000 0.0000 0.0000
Ni1 0.0000 0.0000 0.7391
Te1 0.0000 0.0000 0.2508
Te2 0.0000 0.0000 0.4394
```



--- ii ---
The following is a DFT calculation (PBEsol) of ScNiTe2 after structural relaxation.

Structure (CIF):
```
data_ScNiTe2
_chemical_formula_sum 'Sc1 Ni1 Te2'
_space_group_name_H-M_alt 'P 4/m m m'
_space_group_IT_number 123
_space_group_name_Hall '-P 4 2'
_cell_length_a 4.7159
_cell_length_b 4.7159
_cell_length_c 3.5296
_cell_angle_alpha 90.00
_cell_angle_beta 90.00
_cell_angle_gamma 90.00
loop_
_atom_site_label
_atom_site_fract_x
_atom_site_fract_y
_atom_site_fract_z
Sc1 0.0000 0.0000 0.0000
Ni1 0.5000 0.5000 0.0000
Te1 0.0000 0.5000 0.5000
```



The least stable of them is ii.



--- i ---
The following is a DFT calculation (PBEsol) of Y2ScNi2 after structural relaxation.

Structure (CIF):
```
data_Y2ScNi2
_chemical_formula_sum 'Y4 Sc2 Ni4'
_space_group_name_H-M_alt 'P 4/m b m'
_space_group_IT_number 127
_space_group_name_Hall '-P 4 2ab'
_cell_length_a 7.1420
_cell_length_b 7.1420
_cell_length_c 3.8881
_cell_angle_alpha 90.00
_cell_angle_beta 90.00
_cell_angle_gamma 90.00
loop_
_atom_site_label
_atom_site_fract_x
_atom_site_fract_y
_atom_site_fract_z
Y1 0.1722 0.3278 0.0000
Sc1 0.0000 0.0000 0.5000
Ni1 0.1235 0.6235 0.5000
```



--- ii ---
The following is a DFT calculation (PBEsol) of Y2ScNi2 after structural relaxation.

Structure (CIF):
```
data_Y2ScNi2
_chemical_formula_sum 'Y4 Sc2 Ni4'
_space_group_name_H-M_alt 'I 4/m m m'
_space_group_IT_number 139
_space_group_name_Hall '-I 4 2'
_cell_length_a 5.1963
_cell_length_b 5.1963
_cell_length_c 7.7809
_cell_angle_alpha 90.00
_cell_angle_beta 90.00
_cell_angle_gamma 90.00
loop_
_atom_site_label
_atom_site_fract_x
_atom_site_fract_y
_atom_site_fract_z
Y1 0.0000 0.5000 0.2500
Sc1 0.0000 0.0000 0.0000
Ni1 0.0000 0.0000 0.3518
```



The least stable of them is ii.



--- i ---
The following is a DFT calculation (PBEsol) of YScNi after structural relaxation.

Structure (CIF):
```
data_YScNi
_chemical_formula_sum 'Y1 Sc1 Ni1'
_space_group_name_H-M_alt 'P 3 m 1'
_space_group_IT_number 156
_space_group_name_Hall 'P 3 -2"'
_cell_length_a 4.2879
_cell_length_b 4.2879
_cell_length_c 3.9315
_cell_angle_alpha 90.00
_cell_angle_beta 90.00
_cell_angle_gamma 120.00
loop_
_atom_site_label
_atom_site_fract_x
_atom_site_fract_y
_atom_site_fract_z
Y1 0.0000 0.0000 0.0000
Sc1 0.3333 0.6667 0.5091
Ni1 0.6667 0.3333 0.3766
```



--- ii ---
The following is a DFT calculation (PBEsol) of YScNi after structural relaxation.

Structure (CIF):
```
data_YScNi
_chemical_formula_sum 'Y2 Sc2 Ni2'
_space_group_name_H-M_alt 'I 4 m m'
_space_group_IT_number 107
_space_group_name_Hall 'I 4 -2'
_cell_length_a 3.2550
_cell_length_b 3.2550
_cell_length_c 11.6523
_cell_angle_alpha 90.00
_cell_angle_beta 90.00
_cell_angle_gamma 90.00
loop_
_atom_site_label
_atom_site_fract_x
_atom_site_fract_y
_atom_site_fract_z
Y1 0.0000 0.0000 0.0000
Sc1 0.0000 0.0000 0.7330
Ni1 0.0000 0.0000 0.3485
```



The least stable of them is i.



--- i ---
The following is a DFT calculation (PBEsol) of Ni3Se after structural relaxation.

Structure (CIF):
```
data_Ni3Se
_chemical_formula_sum 'Ni6 Se2'
_space_group_name_H-M_alt 'I m m 2'
_space_group_IT_number 44
_space_group_name_Hall 'I 2 -2'
_cell_length_a 3.1913
_cell_length_b 7.6766
_cell_length_c 3.7929
_cell_angle_alpha 90.00
_cell_angle_beta 90.00
_cell_angle_gamma 90.00
loop_
_atom_site_label
_atom_site_fract_x
_atom_site_fract_y
_atom_site_fract_z
Ni1 0.0000 0.0000 0.0000
Ni2 0.0000 0.2270 0.4984
Se1 0.0000 0.5000 0.0040
```



--- ii ---
The following is a DFT calculation (PBEsol) of Ni3Se after structural relaxation.

Structure (CIF):
```
data_Ni3Se
_chemical_formula_sum 'Ni3 Se1'
_space_group_name_H-M_alt 'P m m m'
_space_group_IT_number 47
_space_group_name_Hall '-P 2 2'
_cell_length_a 3.0782
_cell_length_b 3.0982
_cell_length_c 4.9318
_cell_angle_alpha 90.00
_cell_angle_beta 90.00
_cell_angle_gamma 90.00
loop_
_atom_site_label
_atom_site_fract_x
_atom_site_fract_y
_atom_site_fract_z
Ni1 0.0000 0.0000 0.0000
Ni2 0.5000 0.5000 0.2442
Se1 0.0000 0.0000 0.5000
```



The least stable of them is ii.



--- i ---
The following is a DFT calculation (PBEsol) of Ni2TeSe after structural relaxation.

Structure (CIF):
```
data_Ni2TeSe
_chemical_formula_sum 'Ni2 Te1 Se1'
_space_group_name_H-M_alt 'P 4/m m m'
_space_group_IT_number 123
_space_group_name_Hall '-P 4 2'
_cell_length_a 3.1316
_cell_length_b 3.1316
_cell_length_c 6.3268
_cell_angle_alpha 90.00
_cell_angle_beta 90.00
_cell_angle_gamma 90.00
loop_
_atom_site_label
_atom_site_fract_x
_atom_site_fract_y
_atom_site_fract_z
Ni1 0.0000 0.0000 0.2197
Te1 0.5000 0.5000 0.5000
Se1 0.5000 0.5000 0.0000
```



--- ii ---
The following is a DFT calculation (PBEsol) of Ni2TeSe after structural relaxation.

Structure (CIF):
```
data_Ni2TeSe
_chemical_formula_sum 'Ni2 Te1 Se1'
_space_group_name_H-M_alt 'P 4 m m'
_space_group_IT_number 99
_space_group_name_Hall 'P 4 -2'
_cell_length_a 3.2312
_cell_length_b 3.2312
_cell_length_c 6.6203
_cell_angle_alpha 90.00
_cell_angle_beta 90.00
_cell_angle_gamma 90.00
loop_
_atom_site_label
_atom_site_fract_x
_atom_site_fract_y
_atom_site_fract_z
Ni1 0.0000 0.0000 0.0000
Ni2 0.5000 0.5000 0.2026
Te1 0.5000 0.5000 0.8135
Se1 0.0000 0.0000 0.3468
```



--- iii ---
The following is a DFT calculation (PBEsol) of Ni2TeSe after structural relaxation.

Structure (CIF):
```
data_Ni2TeSe
_chemical_formula_sum 'Ni4 Te2 Se2'
_space_group_name_H-M_alt 'A m m 2'
_space_group_IT_number 38
_space_group_name_Hall 'A 2 -2'
_cell_length_a 4.3846
_cell_length_b 4.7371
_cell_length_c 6.6678
_cell_angle_alpha 90.00
_cell_angle_beta 90.00
_cell_angle_gamma 90.00
loop_
_atom_site_label
_atom_site_fract_x
_atom_site_fract_y
_atom_site_fract_z
Ni1 0.0000 0.0000 0.0000
Ni2 0.5000 0.0000 0.1975
Te1 0.5000 0.0000 0.8209
Se1 0.0000 0.0000 0.3557
```



--- iv ---
The following is a DFT calculation (PBEsol) of Ni2TeSe after structural relaxation.

Structure (CIF):
```
data_Ni2TeSe
_chemical_formula_sum 'Ni8 Te4 Se4'
_space_group_name_H-M_alt 'F -4 3 m'
_space_group_IT_number 216
_space_group_name_Hall 'F -4 2 3'
_cell_length_a 6.3869
_cell_length_b 6.3869
_cell_length_c 6.3869
_cell_angle_alpha 90.00
_cell_angle_beta 90.00
_cell_angle_gamma 90.00
loop_
_atom_site_label
_atom_site_fract_x
_atom_site_fract_y
_atom_site_fract_z
Ni1 0.0000 0.0000 0.0000
Ni2 0.2500 0.2500 0.2500
Te1 0.2500 0.2500 0.7500
Se1 0.0000 0.0000 0.5000
```



The least stable of them is iv.



--- i ---
The following is a DFT calculation (PBEsol) of Si3Ni5 after structural relaxation.

Structure (CIF):
```
data_Si3Ni5
_chemical_formula_sum 'Si6 Ni10'
_space_group_name_H-M_alt 'P 63/m c m'
_space_group_IT_number 193
_space_group_name_Hall '-P 6c 2'
_cell_length_a 6.6194
_cell_length_b 6.6194
_cell_length_c 4.6530
_cell_angle_alpha 90.00
_cell_angle_beta 90.00
_cell_angle_gamma 120.00
loop_
_atom_site_label
_atom_site_fract_x
_atom_site_fract_y
_atom_site_fract_z
Si1 0.0000 0.3890 0.2500
Ni1 0.0000 0.2574 0.7500
Ni2 0.3333 0.6667 0.0000
```



--- ii ---
The following is a DFT calculation (PBEsol) of Si3Ni5 after structural relaxation.

Structure (CIF):
```
data_Si3Ni5
_chemical_formula_sum 'Si12 Ni20'
_space_group_name_H-M_alt 'I 4/m c m'
_space_group_IT_number 140
_space_group_name_Hall '-I 4 2c'
_cell_length_a 8.6450
_cell_length_b 8.6450
_cell_length_c 4.6840
_cell_angle_alpha 90.00
_cell_angle_beta 90.00
_cell_angle_gamma 90.00
loop_
_atom_site_label
_atom_site_fract_x
_atom_site_fract_y
_atom_site_fract_z
Si1 0.0000 0.0000 0.2500
Si2 0.1611 0.3389 0.0000
Ni1 0.0000 0.5000 0.2500
Ni2 0.0775 0.2159 0.5000
```



The least stable of them is ii.



--- i ---
The following is a DFT calculation (PBEsol) of Tl2SiNi after structural relaxation.

Structure (CIF):
```
data_Tl2SiNi
_chemical_formula_sum 'Tl4 Si2 Ni2'
_space_group_name_H-M_alt 'I m m 2'
_space_group_IT_number 44
_space_group_name_Hall 'I 2 -2'
_cell_length_a 3.0652
_cell_length_b 4.3470
_cell_length_c 12.2818
_cell_angle_alpha 90.00
_cell_angle_beta 90.00
_cell_angle_gamma 90.00
loop_
_atom_site_label
_atom_site_fract_x
_atom_site_fract_y
_atom_site_fract_z
Tl1 0.0000 0.0000 0.0000
Tl2 0.0000 0.5000 0.1959
Si1 0.0000 0.0000 0.3726
Ni1 0.0000 0.5000 0.7366
```



--- ii ---
The following is a DFT calculation (PBEsol) of Tl2SiNi after structural relaxation.

Structure (CIF):
```
data_Tl2SiNi
_chemical_formula_sum 'Tl6 Si3 Ni3'
_space_group_name_H-M_alt 'R -3 m'
_space_group_IT_number 166
_space_group_name_Hall '-R 3 2"'
_cell_length_a 3.3665
_cell_length_b 3.3665
_cell_length_c 23.8412
_cell_angle_alpha 90.00
_cell_angle_beta 90.00
_cell_angle_gamma 120.00
loop_
_atom_site_label
_atom_site_fract_x
_atom_site_fract_y
_atom_site_fract_z
Tl1 0.0000 0.0000 0.2419
Si1 0.0000 0.0000 0.0000
Ni1 0.0000 0.0000 0.5000
```



--- iii ---
The following is a DFT calculation (PBEsol) of Tl2SiNi after structural relaxation.

Structure (CIF):
```
data_Tl2SiNi
_chemical_formula_sum 'Tl2 Si1 Ni1'
_space_group_name_H-M_alt 'P 4 m m'
_space_group_IT_number 99
_space_group_name_Hall 'P 4 -2'
_cell_length_a 3.0865
_cell_length_b 3.0865
_cell_length_c 8.5681
_cell_angle_alpha 90.00
_cell_angle_beta 90.00
_cell_angle_gamma 90.00
loop_
_atom_site_label
_atom_site_fract_x
_atom_site_fract_y
_atom_site_fract_z
Tl1 0.0000 0.0000 0.0000
Tl2 0.5000 0.5000 0.3692
Si1 0.5000 0.5000 0.7244
Ni1 0.0000 0.0000 0.6299
```



The least stable of them is ii.